VASP calculation (PBE+U) on crystalline K2CrBiO4 at its relaxed geometry.

## Properties
* total magnetic moment: 2.99 μB per cell
* raw total energy: -45.1 eV per cell

Unit cell a=5.904 b=3.368 c=6.476 alpha=90.00 beta=107.54 gamma=90.00
Fractional coordinates of all 8 atoms:
K: 0.000 0.000 0.000
K: 0.500 0.500 0.000
Cr: 0.000 0.500 0.500
Bi: 0.500 0.000 0.500
O: 0.197 0.000 0.678
O: 0.232 0.500 0.309
O: 0.768 0.500 0.691
O: 0.803 0.000 0.322